## CaNdPI (GGA-PBE)

Data for a relaxed CaNdPI crystal.

ρ: 4.8 g/cm³
Energy: -19.0 eV per cell
Space-group type: No. 160
Formation energy from raw total energies: -1326.3 meV/atom
Total magnetic moment: 0.60 μB/f.u.

Cell lengths 4.2041, 4.2041, 8.0925 Å; angles 90.00, 105.05, 120.00 degrees
Atoms (fractional coordinates):
1 Ca 0.0981 0.9470 0.0604
2 Nd 0.5069 0.1514 0.6736
3 P 0.3067 0.5513 0.8733
4 I 0.9662 0.3811 0.3624